1.
Compound: PmPrHoHg
Source: Alexandria via LeMat-Bulk
Functional: PBE-GGA
Structure: relaxed

Cell lengths 3.684, 3.684, 9.002 Å; angles 90.00, 90.00, 90.00 degrees
Space group P4mm (No. 99)
One atom of each set of equivalent atoms:
Pm (0.000, 0.000, 0.000)
Pr (0.500, 0.500, 0.288)
Ho (0.000, 0.000, 0.567)
Hg (0.500, 0.500, 0.769)

Its total magnetization is 0.00 Bohr magnetons per cell. As for the density of states at the Fermi level: 4.81 states/eV/f.u. As for the total energy: -3.8354 eV/atom. The value obtained for the calculated formation energy is -22 kJ per mole of atoms.

---

2.
Compound: Li3InPd2
Source: Alexandria via LeMat-Bulk
Functional: PBE-GGA
Structure: relaxed

Cell lengths 5.382, 5.593, 7.228 Å; angles 67.42, 69.51, 74.52 degrees
Space group P-1 (No. 2)
One atom of each set of equivalent atoms:
Li (0.068, 0.126, 0.205)
Li (0.296, 0.183, 0.474)
Li (0.400, 0.463, 0.847)
In (0.052, 0.642, 0.196)
Pd (0.268, 0.698, 0.475)
Pd (0.385, 0.964, 0.861)

Its total magnetization is 0.00 Bohr magnetons per cell. As for the density of states at the Fermi level: 1.49 states/eV/f.u. As for the total energy: -3.5832 eV/atom. The value obtained for the calculated formation energy is -42 kJ per mole of atoms.

---

3.
Compound: Cs5K11Rb
Source: Alexandria via LeMat-Bulk
Functional: PBE-GGA
Structure: relaxed

Cell lengths 19.380, 17.433, 8.836 Å; angles 90.00, 100.34, 90.00 degrees
Space group C2/m (No. 12)
One atom of each set of equivalent atoms:
Cs (0.000, 0.000, 0.000)
Cs (0.173, 0.342, 0.340)
K (0.000, 0.500, 0.500)
K (0.058, 0.236, 0.762)
K (0.120, 0.000, 0.527)
K (0.241, 0.119, 0.112)
Rb (0.000, 0.500, 0.000)

Its total magnetization is 0.00 Bohr magnetons per cell. As for the density of states at the Fermi level: 14.82 states/eV/f.u. As for the total energy: -0.9848 eV/atom. The value obtained for the calculated formation energy is 3 kJ per mole of atoms.

---

4.
Compound: AcCe2YN4
Source: Alexandria via LeMat-Bulk
Functional: PBE-GGA
Structure: relaxed

Cell lengths 6.271, 3.621, 6.329 Å; angles 90.00, 109.46, 90.00 degrees
Space group P2/m (No. 10)
One atom of each set of equivalent atoms:
Ac (0.000, 0.000, 0.000)
Ce (0.500, 0.000, 0.500)
Ce (0.500, 0.500, 0.000)
Y (0.000, 0.500, 0.500)
N (0.260, 0.000, 0.740)
N (0.273, 0.500, 0.274)

Its total magnetization is 0.62 Bohr magnetons per cell. As for the density of states at the Fermi level: 4.33 states/eV/f.u. As for the total energy: -8.3539 eV/atom. The uncorrected formation energy comes out at -1386 meV per atom.